Record 1
This record from the Open Quantum Materials Database describes crystalline CsCoAgSe3 at its relaxed geometry. The functional is PBE.

Cell: 8.4069 8.4069 10.2608 Å, 90.00 90.00 154.54°
Closest atoms and distances in Å follow each position.
Atoms (fractional coordinates):
Cs1 0.2457 0.7543 0.7500  2 Ag 3.66, 8 Se 3.69-3.91, 2 Cs 3.70
Cs2 0.7543 0.2457 0.2500  2 Ag 3.66, 8 Se 3.69-3.91, 2 Cs 3.70
Co1 0.0000 0.0000 0.0000  6 Se 2.45-2.75
Co2 0.0000 0.0000 0.5000  6 Se 2.45-2.75
Ag1 0.4465 0.5535 0.2500  4 Se 2.54-2.63
Ag2 0.5535 0.4465 0.7500  4 Se 2.54-2.63
Se1 0.0600 0.9400 0.2500  2 Ag 2.63, 2 Co 2.75
Se2 0.4021 0.5979 0.0124  2 Co 2.45, 1 Ag 2.54
Se3 0.4021 0.5979 0.4876  2 Co 2.45, 1 Ag 2.54
Se4 0.5979 0.4021 0.5124  2 Co 2.45, 1 Ag 2.54
Se5 0.5979 0.4021 0.9876  2 Co 2.45, 1 Ag 2.54
Se6 0.9400 0.0600 0.7500  2 Ag 2.63, 2 Co 2.75

Output
Uncorrected energy, eV per cell: -45.7


Record 2
This record from the Open Quantum Materials Database describes crystalline PrYZn2Sn2 at its relaxed geometry. The functional is PBE.

Cell: 4.5467 4.5467 16.3293 Å, 90.00 90.00 120.00°
Closest atoms and distances in Å follow each position.
Atoms (fractional coordinates):
Pr1 0.0000 0.0000 0.0000  6 Sn 3.26
Pr2 0.0000 0.0000 0.5000  6 Sn 3.26
Y1 0.0000 0.0000 0.2500  6 Zn 3.00
Y2 0.0000 0.0000 0.7500  6 Zn 3.00
Zn1 0.3333 0.6667 0.1616  3 Sn 2.72, 1 Zn 2.89, 3 Y 3.00
Zn2 0.3333 0.6667 0.3384  3 Sn 2.72, 1 Zn 2.89, 3 Y 3.00
Zn3 0.6667 0.3333 0.6616  3 Sn 2.72, 1 Zn 2.89, 3 Y 3.00
Zn4 0.6667 0.3333 0.8384  3 Sn 2.72, 1 Zn 2.89, 3 Y 3.00
Sn1 0.3333 0.6667 0.6187  3 Zn 2.72
Sn2 0.3333 0.6667 0.8813  3 Zn 2.72
Sn3 0.6667 0.3333 0.1187  3 Zn 2.72
Sn4 0.6667 0.3333 0.3813  3 Zn 2.72

Output
Uncorrected energy, eV per cell: -51.2


Record 3
This record from the Open Quantum Materials Database describes crystalline NaHfTe3Au at its relaxed geometry. The functional is PBE.

Cell: 14.4730 4.1217 11.1774 Å, 90.00 90.00 90.00°
Closest atoms and distances in Å follow each position.
Atoms (fractional coordinates):
Na1 0.2233 0.2500 0.0613  6 Te 3.28-3.30
Na2 0.2767 0.7500 0.5613  6 Te 3.28-3.30
Na3 0.7233 0.2500 0.4387  6 Te 3.28-3.30
Na4 0.7767 0.7500 0.9387  6 Te 3.28-3.30
Hf1 0.0092 0.2500 0.3155  6 Te 2.83-3.03
Hf2 0.4908 0.7500 0.8155  6 Te 2.83-3.03
Hf3 0.5092 0.2500 0.1845  6 Te 2.83-3.03
Hf4 0.9908 0.7500 0.6845  6 Te 2.83-3.03
Te1 0.0994 0.2500 0.5598  3 Hf 2.94-3.03, 2 Na 3.29
Te2 0.1226 0.7500 0.8710  1 Hf 2.83, 3 Au 2.85-3.01
Te3 0.1478 0.7500 0.2678  1 Au 2.75, 2 Hf 2.93
Te4 0.3522 0.2500 0.7678  1 Au 2.75, 2 Hf 2.93
Te5 0.3774 0.2500 0.3710  1 Hf 2.83, 3 Au 2.85-3.01
Te6 0.4006 0.7500 0.0598  3 Hf 2.94-3.03, 2 Na 3.29
Te7 0.5994 0.2500 0.9402  3 Hf 2.94-3.03, 2 Na 3.29
Te8 0.6226 0.7500 0.6290  1 Hf 2.83, 3 Au 2.85-3.01
Te9 0.6478 0.7500 0.2322  1 Au 2.75, 2 Hf 2.93
Te10 0.8522 0.2500 0.7322  1 Au 2.75, 2 Hf 2.93
Te11 0.8774 0.2500 0.1290  1 Hf 2.83, 3 Au 2.85-3.01
Te12 0.9006 0.7500 0.4402  3 Hf 2.94-3.03, 2 Na 3.29
Au1 0.0109 0.7500 0.0979  4 Te 2.75-3.01, 2 Au 3.02
Au2 0.4891 0.2500 0.5979  4 Te 2.75-3.01, 2 Au 3.02
Au3 0.5109 0.7500 0.4021  4 Te 2.75-3.01, 2 Au 3.02
Au4 0.9891 0.2500 0.9021  4 Te 2.75-3.01, 2 Au 3.02

Output
Uncorrected energy, eV per cell: -112.3


Record 4
This record from the Open Quantum Materials Database describes crystalline Ho2Sc2CClF4 at its relaxed geometry. The functional is PBE.

Cell: 7.1834 7.1834 7.6409 Å, 110.03 110.03 27.40°
Closest atoms and distances in Å follow each position.
Atoms (fractional coordinates):
Ho1 0.0086 0.0086 0.2184  2 C 2.36, 2 F 2.39-2.40
Ho2 0.9914 0.9914 0.7816  2 C 2.36, 2 F 2.39-2.40
Sc1 0.3352 0.3352 0.9016  1 C 2.15, 5 F 2.16-2.29
Sc2 0.6647 0.6647 0.0984  1 C 2.15, 5 F 2.16-2.29
C1 0.5000 0.5000 0.0000  2 Sc 2.15, 4 Ho 2.36
Cl1 0.5000 0.5000 0.5000  4 Ho 2.78
F1 0.1744 0.1744 0.9047  3 Sc 2.25-2.29, 1 Ho 2.39
F2 0.1896 0.1896 0.2836  2 Sc 2.16, 1 Ho 2.40
F3 0.8104 0.8104 0.7164  2 Sc 2.16, 1 Ho 2.40
F4 0.8256 0.8256 0.0953  3 Sc 2.25-2.29, 1 Ho 2.39

Output
Uncorrected energy, eV per cell: -65.2


Record 5
This record from the Open Quantum Materials Database describes crystalline NaLuNi at its relaxed geometry. The functional is PBE.

Cell: 6.4386 6.4386 6.4386 Å, 90.00 90.00 90.00°
Closest atoms and distances in Å follow each position.
Atoms (fractional coordinates):
Na1 0.0000 0.0000 0.0000  4 Ni 2.79
Na2 0.0000 0.5000 0.5000  4 Ni 2.79
Na3 0.5000 0.0000 0.5000  4 Ni 2.79
Na4 0.5000 0.5000 0.0000  4 Ni 2.79
Lu1 0.0000 0.0000 0.5000  4 Ni 2.79
Lu2 0.0000 0.5000 0.0000  4 Ni 2.79
Lu3 0.5000 0.0000 0.0000  4 Ni 2.79
Lu4 0.5000 0.5000 0.5000  4 Ni 2.79
Ni1 0.2500 0.2500 0.7500  4 Na 2.79, 4 Lu 2.79
Ni2 0.2500 0.7500 0.2500  4 Na 2.79, 4 Lu 2.79
Ni3 0.7500 0.2500 0.2500  4 Na 2.79, 4 Lu 2.79
Ni4 0.7500 0.7500 0.7500  4 Na 2.79, 4 Lu 2.79

Output
Uncorrected energy, eV per cell: -43.2


Record 6
This record from the Open Quantum Materials Database describes crystalline Zr4Sc2As3N3 at its relaxed geometry. The functional is PBE.

Cell: 5.9119 5.9119 12.9371 Å, 103.21 103.21 60.04°
Closest atoms and distances in Å follow each position.
Atoms (fractional coordinates):
Zr1 0.0311 0.2007 0.0979  3 N 2.31-2.34
Zr2 0.1349 0.3011 0.4021  3 N 2.31-2.34
Zr3 0.2007 0.0311 0.5979  3 N 2.31-2.34
Zr4 0.3011 0.1349 0.9021  3 N 2.31-2.34
Zr5 0.6989 0.8651 0.0979  3 N 2.31-2.34
Zr6 0.7993 0.9689 0.4021  3 N 2.31-2.34
Zr7 0.8651 0.6989 0.5979  3 N 2.31-2.34
Zr8 0.9689 0.7993 0.9021  3 N 2.31-2.34
Sc1 0.3669 0.5323 0.0961  3 N 2.28-2.31
Sc2 0.4677 0.6331 0.4039  3 N 2.28-2.31
Sc3 0.5323 0.3669 0.5961  3 N 2.28-2.31
Sc4 0.6331 0.4677 0.9039  3 N 2.28-2.31
As1 0.0901 0.9099 0.2500  2 Sc 2.73, 4 Zr 2.75
As2 0.2575 0.4162 0.7499  2 Sc 2.71-2.73, 4 Zr 2.75
As3 0.4162 0.2575 0.2499  2 Sc 2.71-2.73, 4 Zr 2.75
As4 0.5838 0.7425 0.7501  2 Sc 2.71-2.73, 4 Zr 2.75
As5 0.7425 0.5838 0.2501  2 Sc 2.71-2.73, 4 Zr 2.75
As6 0.9099 0.0901 0.7500  2 Sc 2.73, 4 Zr 2.75
N1 0.0000 0.5000 0.0000  2 Sc 2.31, 4 Zr 2.32
N2 0.1713 0.6643 0.5000  2 Sc 2.28-2.29, 4 Zr 2.31-2.34
N3 0.3357 0.8287 0.0000  2 Sc 2.28-2.29, 4 Zr 2.31-2.34
N4 0.5000 0.0000 0.5000  2 Sc 2.31, 4 Zr 2.32
N5 0.6643 0.1713 0.0000  2 Sc 2.28-2.29, 4 Zr 2.31-2.34
N6 0.8287 0.3357 0.5000  2 Sc 2.28-2.29, 4 Zr 2.31-2.34

Output
Uncorrected energy, eV per cell: -204.5


Record 7
This record from the Open Quantum Materials Database describes crystalline NdHf2 at its relaxed geometry. The functional is PBE.

Cell: 9.1074 9.1074 9.1074 Å, 60.00 60.00 60.00°
Closest atoms and distances in Å follow each position.
Atoms (fractional coordinates):
Nd1 0.1250 0.1250 0.1250  4 Hf 2.79
Nd2 0.8750 0.8750 0.8750  4 Hf 2.79
Hf1 0.0000 0.0000 0.0000  2 Nd 2.79
Hf2 0.0000 0.0000 0.5000  2 Nd 2.79
Hf3 0.0000 0.5000 0.0000  2 Nd 2.79
Hf4 0.5000 0.0000 0.0000  2 Nd 2.79

Output
Uncorrected energy, eV per cell: -28.9
ΔH_f (0 K), meV per atom: 3411


Record 8
This record from the Open Quantum Materials Database describes crystalline NaTlCoSb at its relaxed geometry. The functional is PBE.

Cell: 7.2168 7.2168 7.2168 Å, 90.00 90.00 90.00°
Closest atoms and distances in Å follow each position.
Atoms (fractional coordinates):
Na1 0.0000 0.0000 0.0000  4 Sb 3.12, 4 Co 3.12
Na2 0.0000 0.5000 0.5000  4 Sb 3.12, 4 Co 3.12
Na3 0.5000 0.0000 0.5000  4 Sb 3.12, 4 Co 3.12
Na4 0.5000 0.5000 0.0000  4 Sb 3.12, 4 Co 3.12
Tl1 0.0000 0.0000 0.5000  4 Co 3.12, 4 Sb 3.12
Tl2 0.0000 0.5000 0.0000  4 Co 3.12, 4 Sb 3.12
Tl3 0.5000 0.0000 0.0000  4 Co 3.12, 4 Sb 3.12
Tl4 0.5000 0.5000 0.5000  4 Co 3.12, 4 Sb 3.12
Co1 0.2500 0.2500 0.2500  4 Na 3.12, 4 Tl 3.12
Co2 0.2500 0.7500 0.7500  4 Na 3.12, 4 Tl 3.12
Co3 0.7500 0.2500 0.7500  4 Na 3.12, 4 Tl 3.12
Co4 0.7500 0.7500 0.2500  4 Na 3.12, 4 Tl 3.12
Sb1 0.2500 0.2500 0.7500  4 Tl 3.12, 4 Na 3.12
Sb2 0.2500 0.7500 0.2500  4 Tl 3.12, 4 Na 3.12
Sb3 0.7500 0.2500 0.2500  4 Tl 3.12, 4 Na 3.12
Sb4 0.7500 0.7500 0.7500  4 Tl 3.12, 4 Na 3.12

Output
Uncorrected energy, eV per cell: -51.2